A plane-wave DFT calculation with PBEsol was carried out for crystalline Sb2Te4Pd3 at its relaxed geometry.

Values from the calculation:
The energy is -4.944 eV/atom. The calculation puts the uncorrected formation energy at -0.38 eV per atom.

abc: 6.5355 6.5360 19.6291
angles: 89.87 89.83 89.89
With the nearest neighbours (Å) after each atom.
Space group P1 (No. 1)
Symmetry-distinct sites (fractional):
Sb  0.0000  0.0000  0.0000 (multiplicity 1)  3 Pd 2.68-2.70, 1 Te 2.90
Sb  0.0004  0.9999  0.3325 (multiplicity 1)  3 Pd 2.68-2.70, 1 Te 2.90
Sb  0.0025  0.0007  0.6664 (multiplicity 1)  3 Pd 2.68-2.71, 1 Te 2.91
Sb  0.2368  0.5021  0.4188 (multiplicity 1)  3 Pd 2.68-2.69, 1 Te 2.91
Sb  0.2370  0.5032  0.7526 (multiplicity 1)  3 Pd 2.68-2.70, 1 Te 2.90
Sb  0.2381  0.5043  0.0859 (multiplicity 1)  3 Pd 2.68-2.70, 1 Te 2.90
Sb  0.7418  0.7623  0.8317 (multiplicity 1)  3 Pd 2.68-2.70, 1 Te 2.91
Sb  0.7431  0.7619  0.1652 (multiplicity 1)  3 Pd 2.68-2.70, 1 Te 2.91
Te  0.0017  0.4975  0.5865 (multiplicity 1)  3 Pd 2.69-2.71, 1 Te 3.00
Te  0.2355  0.9972  0.8314 (multiplicity 1)  3 Pd 2.69
Te  0.2364  0.9980  0.1643 (multiplicity 1)  3 Pd 2.69, 1 Te 3.01
Te  0.2370  0.9984  0.4974 (multiplicity 1)  3 Pd 2.69-2.70
Te  0.4953  0.7574  0.3330 (multiplicity 1)  3 Pd 2.72-2.73, 1 Sb 2.91
Te  0.4964  0.7578  0.0000 (multiplicity 1)  3 Pd 2.72-2.73, 1 Sb 2.90
Te  0.4955  0.7575  0.6668 (multiplicity 1)  3 Pd 2.71-2.73, 1 Sb 2.90
Te  0.5004  0.2639  0.5874 (multiplicity 1)  3 Pd 2.69-2.71
Te  0.5013  0.2631  0.2526 (multiplicity 1)  3 Pd 2.69-2.70, 1 Te 3.01
Te  0.5009  0.2636  0.9195 (multiplicity 1)  3 Pd 2.69-2.70, 1 Te 3.01
Te  0.7396  0.7638  0.4976 (multiplicity 1)  3 Pd 2.69-2.71, 1 Te 3.00
Te  0.7418  0.2570  0.4172 (multiplicity 1)  3 Pd 2.72-2.73, 1 Sb 2.90
Te  0.7421  0.2581  0.0843 (multiplicity 1)  3 Pd 2.72-2.73, 1 Sb 2.90
Te  0.7433  0.2579  0.7515 (multiplicity 1)  3 Pd 2.71-2.73, 1 Sb 2.91
Te  0.9955  0.5044  0.9179 (multiplicity 1)  3 Pd 2.72-2.73, 1 Sb 2.91
Te  0.9971  0.5036  0.2514 (multiplicity 1)  3 Pd 2.70-2.73, 1 Sb 2.91
Pd  0.3663  0.1340  0.3749 (multiplicity 1)  2 Sb 2.68-2.69, 4 Te 2.69-2.73
Pd  0.3666  0.1339  0.0422 (multiplicity 1)  2 Sb 2.69-2.70, 4 Te 2.69-2.73
Pd  0.3681  0.1329  0.7099 (multiplicity 1)  2 Sb 2.68-2.70, 4 Te 2.69-2.73
Pd  0.3696  0.6303  0.5412 (multiplicity 1)  1 Sb 2.69, 5 Te 2.70-2.73
Pd  0.3724  0.6316  0.2079 (multiplicity 1)  2 Sb 2.69-2.70, 4 Te 2.69-2.73
Pd  0.3718  0.6316  0.8749 (multiplicity 1)  4 Te 2.69-2.73, 2 Sb 2.70
Pd  0.8692  0.1285  0.8768 (multiplicity 1)  2 Sb 2.69-2.70, 4 Te 2.69-2.73
Pd  0.8697  0.1291  0.2093 (multiplicity 1)  2 Sb 2.69-2.70, 4 Te 2.69-2.73
Pd  0.8697  0.1304  0.5430 (multiplicity 1)  5 Te 2.69-2.73, 1 Sb 2.71
Pd  0.8712  0.6323  0.3754 (multiplicity 1)  2 Sb 2.68, 4 Te 2.69-2.72
Pd  0.8715  0.6332  0.0430 (multiplicity 1)  3 Sb 2.68, 3 Te 2.72
Pd  0.8705  0.6337  0.7094 (multiplicity 1)  3 Sb 2.68, 3 Te 2.71-2.72

***

A plane-wave DFT calculation with PBEsol was carried out for crystalline SbTePd at its relaxed geometry.

Values from the calculation:
The energy is -5.084 eV/atom. The calculation puts the uncorrected formation energy at -0.40 eV per atom.

abc: 6.5254 6.5254 6.5254
angles: 90.00 90.00 90.00
With the nearest neighbours (Å) after each atom.
Space group P2_13 (No. 198)
Symmetry-distinct sites (fractional):
Sb  0.1286  0.1286  0.1286 (multiplicity 4)  3 Pd 2.68, 1 Te 2.90
Te  0.1275  0.3725  0.6275 (multiplicity 4)  3 Pd 2.72, 1 Sb 2.90
Pd  0.0031  0.9969  0.4969 (multiplicity 4)  3 Sb 2.68, 3 Te 2.72

***

> What is the energy in the second record?

-5.084 eV/atom